Entry 1:
DFT (PBE+U) results for a geometry-optimized LiMnPO4 structure.

Values from the calculation:
energy above the most stable polymorph in this dataset = 47.7 meV/atom
DOS(E_F) = 0.00 states/eV/f.u.

a = 7.407 Å, b = 5.544 Å, c = 6.386 Å
α = 76.40°, β = 46.67°, γ = 56.93°
Fractional coordinates of all 14 atoms:
1 Li 0.000 0.000 0.000
2 Li 0.250 0.250 0.250
3 Mn 0.380 0.380 0.620
4 Mn 0.630 0.630 0.870
5 P 0.697 0.697 0.303
6 P 0.947 0.947 0.553
7 O 0.028 0.558 0.119
8 O 0.065 0.619 0.587
9 O 0.131 0.955 0.222
10 O 0.521 0.663 0.631
11 O 0.558 0.028 0.295
12 O 0.619 0.065 0.729
13 O 0.663 0.521 0.185
14 O 0.955 0.131 0.692

Entry 2:
DFT (PBE+U) results for a geometry-optimized CoP2AuO structure.

Values from the calculation:
energy above the most stable polymorph in this dataset = 0.0 meV/atom
DOS(E_F) = 1.16 states/eV/f.u.

a = 4.634 Å, b = 4.634 Å, c = 3.394 Å
α = 90.00°, β = 90.00°, γ = 90.00°
Fractional coordinates of all 5 atoms:
1 Co 0.000 0.000 0.000
2 P 0.000 0.500 0.000
3 P 0.500 0.000 0.000
4 Au 0.500 0.500 0.500
5 O 0.000 0.000 0.500

- DOS(E_F) of number 1 (LiMnPO4)?
  0.00 states/eV/f.u.

- Which value of DOS(E_F) does entry 2 give?
  1.16 states/eV/f.u.